[1]
An optimized crystal structure of MoIrOs2, computed with PBEsol.

a b c (Å): 4.3531 4.3531 4.3531
angles (deg): 60.00 60.00 60.00
Sites, in units of the cell vectors:
Mo: 0.0000 0.0000 0.0000
Ir: 0.5000 0.5000 0.5000
Os: 0.2500 0.2500 0.2500
Os: 0.7500 0.7500 0.7500

Output
The calculated volume comes out at 14.58 Å³ per atom. The calculation puts the total energy at -44.008 eV for the cell shown. For the energy above the most stable polymorph in this dataset, the calculation gives 615 meV per atom. Its space group is No. 225. Its formation energy is 2.0 eV/f.u.

---

[2]
An optimized crystal structure of SiNiTeOs2, computed with PBEsol.

a b c (Å): 4.4751 4.4751 4.1697
angles (deg): 90.00 90.00 90.00
Sites, in units of the cell vectors:
Si: 0.0000 0.0000 0.0000
Ni: 0.0000 0.0000 0.5000
Te: 0.5000 0.5000 0.5000
Os: 0.0000 0.5000 0.0000
Os: 0.5000 0.0000 0.0000

Output
The calculated volume comes out at 16.70 Å³ per atom. The calculation puts the total energy at -35.045 eV for the cell shown. Its space group is No. 123. For the uncorrected formation energy, the calculation gives 0.963 eV/atom.

---

[3]
An optimized crystal structure of HfCo3P, computed with PBEsol.

a b c (Å): 4.4226 4.4226 4.4226
angles (deg): 90.00 90.00 90.00
Sites, in units of the cell vectors:
Hf: 0.0000 0.0000 0.0000
Co: 0.0000 0.0000 0.5000
Co: 0.0000 0.5000 0.0000
Co: 0.5000 0.0000 0.0000
P: 0.5000 0.5000 0.5000

Output
The calculated volume comes out at 17.30 Å³ per atom. The calculation puts the total energy at -31.101 eV for the cell shown. Its space group is No. 221. Its formation energy is 8.4 eV/f.u.

---

[4]
An optimized crystal structure of PrSm, computed with PBEsol.

a b c (Å): 3.6008 3.6008 5.8473
angles (deg): 90.00 90.00 120.00
Sites, in units of the cell vectors:
Pr: 0.0000 0.0000 0.0000
Sm: 0.3333 0.6667 0.5000

Output
The calculated volume comes out at 32.83 Å³ per atom. The calculation puts the total energy at -10.215 eV for the cell shown. Its space group is No. 187. Its formation energy is 0.1 eV/f.u.

---

[5]
An optimized crystal structure of KLaRu2, computed with PBEsol.

a b c (Å): 3.0215 3.7895 9.0777
angles (deg): 90.00 92.60 90.00
Sites, in units of the cell vectors:
K: 0.0000 0.0000 0.0000
La: 0.5740 0.5000 0.5726
Ru: 0.0362 0.0000 0.3676
Ru: 0.5240 0.5000 0.2811

Output
The calculated volume comes out at 25.96 Å³ per atom. The calculation puts the total energy at -25.088 eV for the cell shown. For the energy above the most stable polymorph in this dataset, the calculation gives 0 meV per atom. Its space group is No. 6. Its formation energy is 1.7 eV/f.u.

---

[6]
An optimized crystal structure of Te3PdBr, computed with PBEsol.

a b c (Å): 5.2234 5.2234 5.2234
angles (deg): 90.00 90.00 90.00
Sites, in units of the cell vectors:
Te: 0.0000 0.0000 0.5000
Te: 0.0000 0.5000 0.0000
Te: 0.5000 0.0000 0.0000
Pd: 0.0000 0.0000 0.0000
Br: 0.5000 0.5000 0.5000

Output
The calculated volume comes out at 28.50 Å³ per atom. The calculation puts the total energy at -16.839 eV for the cell shown. Its space group is No. 221. For the uncorrected formation energy, the calculation gives 0.314 eV/atom.

---

[7]
An optimized crystal structure of Nb3FeS6, computed with PBEsol.

a b c (Å): 5.6973 5.6973 11.4057
angles (deg): 90.00 90.00 120.00
Sites, in units of the cell vectors:
Nb: 0.0000 0.0000 0.0000
Nb: 0.0000 0.0000 0.5000
Nb: 0.3333 0.6667 0.0042
Nb: 0.3333 0.6667 0.4958
Nb: 0.6667 0.3333 0.5042
Nb: 0.6667 0.3333 0.9958
Fe: 0.3333 0.6667 0.7500
Fe: 0.6667 0.3333 0.2500
S: 0.0053 0.3368 0.6385
S: 0.0053 0.6685 0.8615
S: 0.3315 0.3368 0.8615
S: 0.3315 0.9947 0.6385
S: 0.3368 0.0053 0.3615
S: 0.3368 0.3315 0.1385
S: 0.6632 0.6685 0.6385
S: 0.6632 0.9947 0.8615
S: 0.6685 0.0053 0.1385
S: 0.6685 0.6632 0.3615
S: 0.9947 0.3315 0.3615
S: 0.9947 0.6632 0.1385

Output
The calculated volume comes out at 16.03 Å³ per atom. The calculation puts the total energy at -157.856 eV for the cell shown. Its space group is No. 182. For the uncorrected formation energy, the calculation gives -1.120 eV/atom.

---

[8]
An optimized crystal structure of AlAgCl2, computed with PBEsol.

a b c (Å): 8.1737 8.1737 8.1737
angles (deg): 23.98 23.98 23.98
Sites, in units of the cell vectors:
Al: 0.0000 0.0000 0.0000
Ag: 0.2627 0.2627 0.2627
Cl: 0.5261 0.5261 0.5261
Cl: 0.7322 0.7322 0.7322

Output
The calculated volume comes out at 19.82 Å³ per atom. The calculation puts the total energy at -13.915 eV for the cell shown. For the energy above the most stable polymorph in this dataset, the calculation gives 0 meV per atom. Its space group is No. 160. For the uncorrected formation energy, the calculation gives -0.624 eV/atom.